Record 1
A crystal of Na2SnAsCO7 relaxed with PBEsol. Source: Alexandria via LeMat-Bulk, functional meta-GGA SCAN.

## Properties
Fermi-level density of states (states/eV/cell): 4.5
Spin magnetization (μB per cell): 0.0
ΔE_f (raw) (eV/atom): -1.608

a b c (Å): 5.334 7.023 9.274
angles (deg): 90.00 90.78 90.00
Positions (direct):
Na (0.761, 0.497, 0.788)
Na (0.761, 0.003, 0.788)
Na (0.239, 0.503, 0.212)
Na (0.239, 0.997, 0.212)
Sn (0.212, 0.750, 0.635)
Sn (0.788, 0.250, 0.365)
As (0.290, 0.250, 0.590)
As (0.710, 0.750, 0.410)
C (0.269, 0.750, 0.922)
C (0.731, 0.250, 0.078)
O (0.705, 0.250, 0.944)
O (0.049, 0.750, 0.856)
O (0.463, 0.750, 0.834)
O (0.172, 0.053, 0.675)
O (0.172, 0.447, 0.675)
O (0.804, 0.750, 0.589)
O (0.613, 0.250, 0.595)
O (0.387, 0.750, 0.405)
O (0.196, 0.250, 0.411)
O (0.828, 0.553, 0.325)
O (0.828, 0.947, 0.325)
O (0.537, 0.250, 0.166)
O (0.951, 0.250, 0.144)
O (0.295, 0.750, 0.056)


Record 2
A crystal of Re2MoP relaxed with PBEsol. Source: Alexandria via LeMat-Bulk, functional meta-GGA SCAN.

## Properties
Fermi-level density of states (states/eV/cell): 2.8
Spin magnetization (μB per cell): 1.2
DFT formation energy (eV per atom): 0.3076

a b c (Å): 4.309 4.309 4.309
angles (deg): 60.00 60.00 60.00
Positions (direct):
Mo (0.500, 0.500, 0.500)
P (0.750, 0.750, 0.750)
Re (0.000, 0.000, 0.000)
Re (0.250, 0.250, 0.250)


Record 3
A crystal of Ag2TeI relaxed with PBEsol. Source: Alexandria via LeMat-Bulk, functional meta-GGA SCAN.

## Properties
Fermi-level density of states (states/eV/cell): 5.5
Spin magnetization (μB per cell): 0.6
ΔE_f (raw) (eV/atom): -0.032

a b c (Å): 6.383 6.383 7.658
angles (deg): 114.63 114.63 90.00
Positions (direct):
I (0.250, 0.750, 0.500)
I (0.000, 0.000, 0.000)
Te (0.750, 0.250, 0.500)
Te (0.500, 0.500, 0.000)
Ag (0.857, 0.375, 0.250)
Ag (0.393, 0.875, 0.250)
Ag (0.625, 0.607, 0.750)
Ag (0.125, 0.143, 0.750)


Record 4
A crystal of CuIO2F relaxed with PBEsol. Source: Alexandria via LeMat-Bulk, functional meta-GGA SCAN.

## Properties
Fermi-level density of states (states/eV/cell): 4.0
Spin magnetization (μB per cell): 3.0
ΔE_f (raw) (eV/atom): 0.898

a b c (Å): 4.243 4.243 4.154
angles (deg): 90.00 90.00 90.00
Positions (direct):
I (0.000, 0.000, 0.500)
O (0.000, 0.500, 0.000)
O (0.500, 0.000, 0.000)
Cu (0.500, 0.500, 0.500)
F (0.000, 0.000, 0.000)